## ReSb2Te (PBE)

Data for a relaxed ReSb2Te crystal.

Results
- space-group type = C2/m, No. 12
- formation energy from raw total energies (eV per atom) = 0.885
- E (eV per atom) = -5.0739

Cell: 5.186 5.186 3.574 Å, 81.02 81.02 103.13°
Atoms (fractional coordinates):
Sb (0.000, 0.000, 0.000)
Sb (0.500, 0.500, 0.000)
Te (0.500, 0.000, 0.500)
Re (0.000, 0.500, 0.500)